## CdAgBi2Ru (PBE)

Data for crystalline CdAgBi2Ru at its relaxed geometry.

POSCAR file:
```
CdAgBi2Ru
1.0
5.196 0.000 0.000
0.000 5.275 0.000
0.000 0.000 5.196
Ru Cd Bi Ag
1 1 2 1
Direct
0.000 0.000 0.000 Ru
0.000 0.500 0.000 Cd
0.500 0.000 0.000 Bi
0.000 0.000 0.500 Bi
0.500 0.500 0.500 Ag
```

Computed properties:
ΔE_f = 0.448 eV per atom
DFT total energy = -18.56 eV per cell